An optimized crystal structure of KTl15Pb4, computed with PBE.

- E_form: -10 meV per atom
- Space-group type: P4/mmm (123)
- Crystal system: tetragonal

Cell lengths 5.2053, 5.2053, 22.9318 Å; angles 90.00, 90.00, 90.00 degrees
Closest atoms and distances in Å follow each position.
Sites, in units of the cell vectors:
K (0.0000, 0.0000, 0.0000)  12 Tl 3.59-3.68
Tl (0.0000, 0.5000, 0.1080)  2 Pb 3.36, 8 Tl 3.43-3.68, 2 K 3.59
Tl (0.0000, 0.5000, 0.3028)  8 Tl 3.43-3.68, 4 Pb 3.44-3.51
Tl (0.0000, 0.5000, 0.5000)  8 Tl 3.45-3.68, 4 Pb 3.45
Tl (0.0000, 0.5000, 0.6972)  8 Tl 3.43-3.68, 4 Pb 3.44-3.51
Tl (0.0000, 0.5000, 0.8920)  2 Pb 3.36, 8 Tl 3.43-3.68, 2 K 3.59
Tl (0.5000, 0.0000, 0.1080)  2 Pb 3.36, 8 Tl 3.43-3.68, 2 K 3.59
Tl (0.5000, 0.0000, 0.3028)  8 Tl 3.43-3.68, 4 Pb 3.44-3.51
Tl (0.5000, 0.0000, 0.5000)  8 Tl 3.45-3.68, 4 Pb 3.45
Tl (0.5000, 0.0000, 0.6972)  8 Tl 3.43-3.68, 4 Pb 3.44-3.51
Tl (0.5000, 0.0000, 0.8920)  2 Pb 3.36, 8 Tl 3.43-3.68, 2 K 3.59
Tl (0.5000, 0.5000, 0.0000)  8 Tl 3.59, 4 K 3.68
Tl (0.5000, 0.5000, 0.2052)  8 Tl 3.43, 4 Pb 3.68
Tl (0.5000, 0.5000, 0.4013)  8 Tl 3.45, 4 Pb 3.68
Tl (0.5000, 0.5000, 0.5987)  8 Tl 3.45, 4 Pb 3.68
Tl (0.5000, 0.5000, 0.7948)  8 Tl 3.43, 4 Pb 3.68
Pb (0.0000, 0.0000, 0.2003)  12 Tl 3.36-3.68
Pb (0.0000, 0.0000, 0.4009)  12 Tl 3.44-3.68
Pb (0.0000, 0.0000, 0.5991)  12 Tl 3.44-3.68
Pb (0.0000, 0.0000, 0.7997)  12 Tl 3.36-3.68